[1]
Computed, not measured: an optimized crystal structure of Cs2U2PdSe6 at the PBE level of DFT.

a b c (Å): 6.8330 6.8330 8.6987
angles (deg): 98.07 98.07 112.01
With the nearest neighbours (Å) after each atom.
Fractional coordinates of all 11 atoms:
Cs1 0.1866 0.8134 0.0000  6 Se 3.64-3.69
Cs2 0.8134 0.1866 0.0000  6 Se 3.64-3.69
Se1 0.0599 0.3674 0.6672  1 Pd 2.57, 1 U 2.79
Se2 0.9401 0.6326 0.3328  1 Pd 2.57, 1 U 2.79
Se3 0.6604 0.6604 0.7303  2 U 2.80
Se4 0.3674 0.0599 0.6672  1 Pd 2.57, 1 U 2.79
Se5 0.3396 0.3396 0.2697  2 U 2.80
Se6 0.6326 0.9401 0.3328  1 Pd 2.57, 1 U 2.79
Pd1 0.0000 0.0000 0.5000  4 Se 2.57
U1 0.6659 0.3341 0.5000  6 Se 2.79-2.92
U2 0.3341 0.6659 0.5000  6 Se 2.79-2.92

Output
* crystal system: monoclinic
* space-group type: No. 12
* Fermi-level density of states: 1.1115 states/eV/atom

---

[2]
Computed, not measured: an optimized crystal structure of Cs2UPdSe5 at the PBE level of DFT.

a b c (Å): 4.3215 11.2681 14.6745
angles (deg): 90.00 90.00 101.06
With the nearest neighbours (Å) after each atom.
Fractional coordinates of all 18 atoms:
Se1 0.7167 0.4334 0.8972  1 Pd 2.50, 2 U 2.80
Se2 0.9162 0.8323 0.4826  2 Pd 2.44
Se3 0.3259 0.6517 0.0187  1 U 2.60
Se4 0.4887 0.9775 0.3272  1 Pd 2.39
Se5 0.3033 0.6066 0.6389  2 U 2.81
Se6 0.2833 0.5666 0.3972  1 Pd 2.50, 2 U 2.80
Se7 0.6967 0.3934 0.1389  2 U 2.81
Se8 0.0838 0.1677 0.9826  2 Pd 2.44
Se9 0.5113 0.0225 0.8272  1 Pd 2.39
Se10 0.6741 0.3483 0.5187  1 U 2.60
Pd1 0.6039 0.2078 0.9110  4 Se 2.39-2.50
Pd2 0.3961 0.7922 0.4110  4 Se 2.39-2.50
Cs1 0.1207 0.2414 0.3305  7 Se 3.63-3.92
Cs2 0.8735 0.7469 0.2001  5 Se 3.59-4.01, 2 Pd 3.81
Cs3 0.1265 0.2531 0.7001  5 Se 3.59-4.01, 2 Pd 3.81
Cs4 0.8793 0.7586 0.8305  7 Se 3.63-3.92
U1 0.2083 0.4167 0.0179  6 Se 2.60-2.81
U2 0.7917 0.5833 0.5179  6 Se 2.60-2.81

Output
* crystal system: orthorhombic
* space-group type: No. 36
* Fermi-level density of states: 0.6236 states/eV/atom

---

[3]
Computed, not measured: an optimized crystal structure of Cs3UPd2Se6 at the PBE level of DFT.

a b c (Å): 6.9623 6.9623 8.6731
angles (deg): 97.50 97.50 120.70
With the nearest neighbours (Å) after each atom.
Fractional coordinates of all 12 atoms:
Se1 0.9383 0.6023 0.8257  2 Pd 2.69-2.76, 1 U 2.77
Se2 0.6023 0.9383 0.8257  2 Pd 2.69-2.76, 1 U 2.77
Se3 0.7237 0.7237 0.1779  2 Pd 2.73, 1 U 2.75
Se4 0.2763 0.2763 0.8221  2 Pd 2.73, 1 U 2.75
Se5 0.0617 0.3977 0.1743  2 Pd 2.69-2.76, 1 U 2.77
Se6 0.3977 0.0617 0.1743  2 Pd 2.69-2.76, 1 U 2.77
Cs1 0.1693 0.8307 0.5000  6 Se 3.54-3.58, 2 Cs 3.96
Cs2 0.5000 0.5000 0.5000  6 Se 3.53-3.58
Cs3 0.8307 0.1693 0.5000  6 Se 3.54-3.58, 2 Cs 3.96
Pd1 0.3353 0.6647 0.0000  6 Se 2.69-2.76
Pd2 0.6647 0.3353 0.0000  6 Se 2.69-2.76
U1 0.0000 0.0000 0.0000  6 Se 2.75-2.77

Output
* crystal system: monoclinic
* space-group type: No. 12
* Fermi-level density of states: 0.7601 states/eV/atom

---

[4]
Computed, not measured: an optimized crystal structure of Cs2ZrPdSe4 at the PBE level of DFT.

a b c (Å): 6.2549 7.9937 13.5647
angles (deg): 84.82 76.67 66.97
With the nearest neighbours (Å) after each atom.
Fractional coordinates of all 16 atoms:
Pd1 0.5000 0.0000 0.0000  4 Se 2.54
Pd2 0.2500 0.5000 0.5000  4 Se 2.54
Cs1 0.8216 0.0000 0.3567  8 Se 3.87-3.98
Cs2 0.5716 0.5000 0.8567  8 Se 3.87-3.98
Cs3 0.9284 0.5000 0.1433  8 Se 3.87-3.98
Cs4 0.1784 0.0000 0.6433  8 Se 3.87-3.98
Zr1 0.7500 0.5000 0.5000  4 Se 2.55
Zr2 0.0000 0.0000 0.0000  4 Se 2.55
Se1 0.8500 0.6955 0.6059  1 Pd 2.54, 1 Zr 2.55
Se2 0.1515 0.3045 0.3941  1 Pd 2.54, 1 Zr 2.55
Se3 0.2955 0.8045 0.1059  1 Pd 2.54, 1 Zr 2.55
Se4 0.5985 0.1955 0.1059  1 Pd 2.54, 1 Zr 2.55
Se5 0.9000 0.8045 0.8941  1 Pd 2.54, 1 Zr 2.55
Se6 0.4545 0.6955 0.3941  1 Pd 2.54, 1 Zr 2.55
Se7 0.2060 0.1955 0.8941  1 Pd 2.54, 1 Zr 2.55
Se8 0.5440 0.3045 0.6059  1 Pd 2.54, 1 Zr 2.55

Output
* crystal system: orthorhombic
* space-group type: No. 70
* Fermi-level density of states: 0.6477 states/eV/atom

---

[5]
Computed, not measured: an optimized crystal structure of CsZrPdSe3 at the PBE level of DFT.

a b c (Å): 3.9459 9.4009 10.3305
angles (deg): 115.45 90.00 90.00
With the nearest neighbours (Å) after each atom.
Fractional coordinates of all 12 atoms:
Se1 0.2500 0.1237 0.8665  1 Pd 2.61, 2 Zr 2.71
Se2 0.7500 0.4760 0.1385  3 Zr 2.78-2.81
Se3 0.2500 0.7716 0.4436  3 Pd 2.51-2.73, 1 Zr 2.69
Se4 0.2500 0.5240 0.8615  3 Zr 2.78-2.81
Se5 0.7500 0.8763 0.1335  1 Pd 2.61, 2 Zr 2.71
Se6 0.7500 0.2284 0.5564  3 Pd 2.51-2.73, 1 Zr 2.69
Cs1 0.2500 0.2346 0.2564  7 Se 3.59-3.70, 2 Cs 3.95
Cs2 0.7500 0.7654 0.7436  7 Se 3.59-3.70, 2 Cs 3.95
Pd1 0.7500 0.9090 0.3978  4 Se 2.51-2.73
Pd2 0.2500 0.0910 0.6022  4 Se 2.51-2.73
Zr1 0.2500 0.6935 0.1612  6 Se 2.69-2.81
Zr2 0.7500 0.3065 0.8388  6 Se 2.69-2.81

Output
* crystal system: monoclinic
* space-group type: No. 11
* Fermi-level density of states: 0.6075 states/eV/atom

---

[6]
Computed, not measured: an optimized crystal structure of Cs2ZrPd2Se4 at the PBE level of DFT.

a b c (Å): 4.0365 8.5252 7.8343
angles (deg): 106.55 104.93 90.00
With the nearest neighbours (Å) after each atom.
Fractional coordinates of all 9 atoms:
Se1 0.4868 0.2148 0.9736  1 Pd 2.65, 2 Zr 2.77
Se2 0.1864 0.1688 0.3728  3 Pd 2.50-2.74, 1 Zr 2.76
Se3 0.8136 0.8312 0.6272  3 Pd 2.50-2.74, 1 Zr 2.76
Se4 0.5132 0.7852 0.0264  1 Pd 2.65, 2 Zr 2.77
Pd1 0.3177 0.0067 0.6355  4 Se 2.50-2.74
Pd2 0.6823 0.9933 0.3645  4 Se 2.50-2.74
Cs1 0.8643 0.4286 0.7286  7 Se 3.57-3.79, 1 Pd 3.92, 1 Cs 3.93
Cs2 0.1357 0.5714 0.2714  7 Se 3.57-3.79, 1 Pd 3.92, 1 Cs 3.93
Zr1 0.0000 0.0000 0.0000  6 Se 2.76-2.77

Output
* crystal system: monoclinic
* space-group type: No. 12
* Fermi-level density of states: 0.5571 states/eV/atom

---

[7]
Computed, not measured: an optimized crystal structure of CsSi2Pd at the PBE level of DFT.

a b c (Å): 5.6021 5.6021 8.5672
angles (deg): 70.92 70.92 90.00
With the nearest neighbours (Å) after each atom.
Fractional coordinates of all 8 atoms:
Cs1 0.0000 0.0000 0.0000  8 Si 3.66, 4 Pd 3.96
Cs2 0.7500 0.2500 0.5000  8 Si 3.66, 4 Pd 3.96
Si1 0.3750 0.6250 0.7500  2 Pd 2.36
Si2 0.8750 0.6250 0.7500  2 Pd 2.36
Si3 0.3750 0.6250 0.2500  2 Pd 2.36
Si4 0.3750 0.1250 0.2500  2 Pd 2.36
Pd1 0.2500 0.7500 0.5000  4 Si 2.36
Pd2 0.5000 0.5000 0.0000  4 Si 2.36

Output
* crystal system: tetragonal
* space-group type: No. 141
* Fermi-level density of states: 0.5828 states/eV/atom
* polymorph energy (0 for the lowest one): 0.068 eV/atom

---

[8]
Computed, not measured: an optimized crystal structure of CsSi2Pd at the PBE level of DFT.

a b c (Å): 4.9869 4.9869 4.9869
angles (deg): 60.00 60.00 60.00
With the nearest neighbours (Å) after each atom.
Fractional coordinates of all 4 atoms:
Pd1 0.0000 0.0000 0.0000  8 Si 3.05
Si1 0.7500 0.7500 0.7500  4 Pd 3.05, 4 Cs 3.05
Si2 0.2500 0.2500 0.2500  4 Pd 3.05, 4 Cs 3.05
Cs1 0.5000 0.5000 0.5000  8 Si 3.05

Output
* crystal system: cubic
* space-group type: No. 225
* Fermi-level density of states: 0.7099 states/eV/atom
* polymorph energy (0 for the lowest one): 0.865 eV/atom

---

The records above yield energy relative to the elements, uncorrected values of -1.03; -0.89; -0.76; -1.00; -1.10; -0.92; 0.08; 0.88 eV/atom, respectively.